*i*
First-principles (GGA-PBEsol) data for an optimized crystal structure of Cd3C, as listed in Alexandria.

Cell: 8.876 8.876 3.142 Å, 90.00 90.00 120.00°
Fractional positions:
Cd: 0.000 0.500 0.000
Cd: 0.167 0.333 0.333
Cd: 0.167 0.833 0.333
Cd: 0.333 0.167 0.667
Cd: 0.500 0.000 0.000
Cd: 0.500 0.500 0.000
Cd: 0.667 0.833 0.333
Cd: 0.833 0.167 0.667
Cd: 0.833 0.667 0.667
C: 0.000 0.000 0.000
C: 0.333 0.667 0.667
C: 0.667 0.333 0.333

Computed properties:
**Fermi-level density of states**: 4.59 states/eV per cell

*ii*
First-principles (GGA-PBEsol) data for an optimized crystal structure of Cd3C, as listed in Alexandria.

Cell: 3.259 3.259 7.733 Å, 90.00 90.00 120.00°
Fractional positions:
Cd: 0.000 0.000 0.000
Cd: 0.333 0.667 0.311
Cd: 0.333 0.667 0.689
C: 0.000 0.000 0.500

Computed properties:
**Fermi-level density of states**: 2.30 states/eV per cell

*ii* ends up most stable, edging out the next structure by 295 meV per atom.

*i*
First-principles (GGA-PBEsol) data for an optimized crystal structure of Cd3C, as listed in Alexandria.

Cell: 6.514 6.514 6.514 Å, 90.00 90.00 90.00°
Fractional positions:
Cd: 0.000 0.000 0.000
Cd: 0.000 0.500 0.500
Cd: 0.250 0.250 0.250
Cd: 0.250 0.250 0.750
Cd: 0.250 0.750 0.250
Cd: 0.250 0.750 0.750
Cd: 0.500 0.000 0.500
Cd: 0.500 0.500 0.000
Cd: 0.750 0.250 0.250
Cd: 0.750 0.250 0.750
Cd: 0.750 0.750 0.250
Cd: 0.750 0.750 0.750
C: 0.000 0.000 0.500
C: 0.000 0.500 0.000
C: 0.500 0.000 0.000
C: 0.500 0.500 0.500

Computed properties:
**Fermi-level density of states**: 0.80 states/eV per cell

*ii*
First-principles (GGA-PBEsol) data for an optimized crystal structure of Cd3C, as listed in Alexandria.

Cell: 3.417 3.417 21.669 Å, 90.00 90.00 120.00°
Fractional positions:
Cd: 0.000 0.000 0.000
Cd: 0.000 0.000 0.226
Cd: 0.000 0.000 0.774
Cd: 0.333 0.667 0.441
Cd: 0.333 0.667 0.667
Cd: 0.333 0.667 0.893
Cd: 0.667 0.333 0.107
Cd: 0.667 0.333 0.333
Cd: 0.667 0.333 0.559
C: 0.000 0.000 0.500
C: 0.333 0.667 0.167
C: 0.667 0.333 0.833

Computed properties:
**Fermi-level density of states**: 5.52 states/eV per cell

*ii* ends up most stable, edging out the next structure by 273 meV per atom.

*i*
First-principles (GGA-PBEsol) data for an optimized crystal structure of CdC2, as listed in Alexandria.

Cell: 2.598 6.180 12.538 Å, 90.00 90.00 90.00°
Fractional positions:
Cd: 0.000 0.000 0.000
Cd: 0.000 0.500 0.500
Cd: 0.500 0.000 0.500
Cd: 0.500 0.500 0.000
C: 0.000 0.000 0.250
C: 0.000 0.000 0.750
C: 0.000 0.500 0.250
C: 0.000 0.500 0.750
C: 0.500 0.000 0.250
C: 0.500 0.000 0.750
C: 0.500 0.500 0.250
C: 0.500 0.500 0.750

Computed properties:
**Fermi-level density of states**: 2.35 states/eV per cell

*ii*
First-principles (GGA-PBEsol) data for an optimized crystal structure of CdC2, as listed in Alexandria.

Cell: 9.076 9.076 2.616 Å, 90.00 90.00 120.00°
Fractional positions:
Cd: 0.000 0.000 0.000
Cd: 0.333 0.667 0.500
Cd: 0.667 0.333 0.500
C: 0.000 0.330 0.000
C: 0.000 0.335 0.500
C: 0.330 0.000 0.000
C: 0.335 0.000 0.500
C: 0.665 0.665 0.500
C: 0.670 0.670 0.000

Computed properties:
**Fermi-level density of states**: 2.80 states/eV per cell

*i* ends up most stable, edging out the next structure by 71 meV per atom.

*i*
First-principles (GGA-PBEsol) data for an optimized crystal structure of CdC2, as listed in Alexandria.

Cell: 5.070 5.070 6.053 Å, 90.00 90.00 90.00°
Fractional positions:
Cd: 0.000 0.000 0.250
Cd: 0.000 0.000 0.750
Cd: 0.500 0.500 0.250
Cd: 0.500 0.500 0.750
C: 0.089 0.411 0.000
C: 0.089 0.589 0.500
C: 0.411 0.089 0.500
C: 0.411 0.911 0.000
C: 0.589 0.089 0.000
C: 0.589 0.911 0.500
C: 0.911 0.411 0.500
C: 0.911 0.589 0.000

Computed properties:
**Fermi-level density of states**: 7.23 states/eV per cell

*ii*
First-principles (GGA-PBEsol) data for an optimized crystal structure of CdC2, as listed in Alexandria.

Cell: 3.425 4.618 5.102 Å, 90.00 90.00 90.00°
Fractional positions:
Cd: 0.000 0.000 0.000
Cd: 0.500 0.500 0.500
C: 0.000 0.137 0.500
C: 0.000 0.863 0.500
C: 0.500 0.363 0.000
C: 0.500 0.637 0.000

*ii* ends up most stable, edging out the next structure by 552 meV per atom.

*i*
First-principles (GGA-PBEsol) data for an optimized crystal structure of CdC, as listed in Alexandria.

Cell: 4.792 3.046 3.719 Å, 90.00 90.00 90.00°
Fractional positions:
Cd: 0.250 0.000 0.220
Cd: 0.750 0.000 0.780
C: 0.250 0.500 0.702
C: 0.750 0.500 0.298

Computed properties:
**Fermi-level density of states**: 1.49 states/eV per cell

*ii*
First-principles (GGA-PBEsol) data for an optimized crystal structure of CdC, as listed in Alexandria.

Cell: 6.125 6.125 6.125 Å, 90.00 90.00 90.00°
Fractional positions:
Cd: 0.125 0.125 0.125
Cd: 0.125 0.625 0.625
Cd: 0.375 0.375 0.875
Cd: 0.375 0.875 0.375
Cd: 0.625 0.125 0.625
Cd: 0.625 0.625 0.125
Cd: 0.875 0.375 0.375
Cd: 0.875 0.875 0.875
C: 0.125 0.125 0.625
C: 0.125 0.625 0.125
C: 0.375 0.375 0.375
C: 0.375 0.875 0.875
C: 0.625 0.125 0.125
C: 0.625 0.625 0.625
C: 0.875 0.375 0.875
C: 0.875 0.875 0.375

Computed properties:
**Fermi-level density of states**: 1.92 states/eV per cell

*i* ends up most stable, edging out the next structure by 395 meV per atom.

*i*
First-principles (GGA-PBEsol) data for an optimized crystal structure of CdCI2, as listed in Alexandria.

Cell: 7.420 7.420 7.420 Å, 60.00 60.00 60.00°
Fractional positions:
Cd: 0.125 0.125 0.125
Cd: 0.875 0.875 0.875
C: 0.375 0.375 0.375
C: 0.625 0.625 0.625
I: 0.000 0.500 0.500
I: 0.500 0.000 0.500
I: 0.500 0.500 0.000
I: 0.500 0.500 0.500

Computed properties:
**Fermi-level density of states**: 2.77 states/eV per cell

*ii*
First-principles (GGA-PBEsol) data for an optimized crystal structure of CdCI2, as listed in Alexandria.

Cell: 7.285 7.285 7.285 Å, 90.00 90.00 90.00°
Fractional positions:
Cd: 0.000 0.000 0.000
Cd: 0.000 0.500 0.500
Cd: 0.500 0.000 0.500
Cd: 0.500 0.500 0.000
C: 0.000 0.000 0.500
C: 0.000 0.500 0.000
C: 0.500 0.000 0.000
C: 0.500 0.500 0.500
I: 0.250 0.250 0.250
I: 0.250 0.250 0.750
I: 0.250 0.750 0.250
I: 0.250 0.750 0.750
I: 0.750 0.250 0.250
I: 0.750 0.250 0.750
I: 0.750 0.750 0.250
I: 0.750 0.750 0.750

Computed properties:
**Fermi-level density of states**: 11.75 states/eV per cell

*i* ends up most stable, edging out the next structure by 429 meV per atom.

*i*
First-principles (GGA-PBEsol) data for an optimized crystal structure of Y3CdC, as listed in Alexandria.

Cell: 6.855 6.855 6.855 Å, 119.45 90.74 119.70°
Fractional positions:
Y: 0.220 0.000 0.720
Y: 0.220 0.500 0.220
Y: 0.311 0.061 0.250
Y: 0.689 0.939 0.750
Y: 0.780 0.000 0.280
Y: 0.780 0.500 0.780
Cd: 0.246 0.496 0.750
Cd: 0.754 0.504 0.250
C: 0.000 0.000 0.000
C: 0.500 0.000 0.500

Computed properties:
**Fermi-level density of states**: 11.86 states/eV per cell

*ii*
First-principles (GGA-PBEsol) data for an optimized crystal structure of Y3CdC, as listed in Alexandria.

Cell: 4.871 4.871 4.871 Å, 90.00 90.00 90.00°
Fractional positions:
Y: 0.000 0.000 0.500
Y: 0.000 0.500 0.000
Y: 0.500 0.000 0.000
Cd: 0.500 0.500 0.500
C: 0.000 0.000 0.000

Computed properties:
**Fermi-level density of states**: 6.41 states/eV per cell

*i* ends up most stable, edging out the next structure by 13 meV per atom.

*i*
First-principles (GGA-PBEsol) data for an optimized crystal structure of NiCCl3, as listed in Alexandria.

Cell: 4.468 4.468 4.468 Å, 90.00 90.00 90.00°
Fractional positions:
Ni: 0.000 0.000 0.000
C: 0.500 0.500 0.500
Cl: 0.000 0.000 0.500
Cl: 0.000 0.500 0.000
Cl: 0.500 0.000 0.000

Computed properties:
**Fermi-level density of states**: 3.24 states/eV per cell

*ii*
First-principles (GGA-PBEsol) data for an optimized crystal structure of NiCCl3, as listed in Alexandria.

Cell: 4.262 4.262 4.262 Å, 90.00 90.00 90.00°
Fractional positions:
Ni: 0.000 0.000 0.000
C: 0.500 0.500 0.500
Cl: 0.000 0.500 0.500
Cl: 0.500 0.000 0.500
Cl: 0.500 0.500 0.000

Computed properties:
**Fermi-level density of states**: 9.24 states/eV per cell

*i* ends up most stable, edging out the next structure by 18 meV per atom.